The following is a PBE-GGA calculation of a geometry-optimized SrAl3Rh structure, from the Alexandria database.

* V: 21.9 Å³/atom
* uncorrected energy: -4.4980 eV/atom
* theoretical density: 4.12 g/cm³
* formation enthalpy at 0 K: -0.446 eV per atom
* DOS at the Fermi energy: 1.1 states/eV/f.u.

Unit cell a=4.784 b=4.784 c=4.784 alpha=90.00 beta=90.00 gamma=90.00
Positions (direct):
Al  0.000  0.000  0.500
Sr  0.500  0.500  0.500
Al  0.000  0.500  0.000
Al  0.500  0.000  0.000
Rh  0.000  0.000  0.000